DFT (GGA-PBEsol) results for crystalline TePd3N at its relaxed geometry.

## Properties
Its density is 6.46 g/cm³. The crystal system is cubic. As for the formation energy (no corrections): 1.573 eV per atom. As for the spin magnetization: 2.09 μB/f.u. The symmetry is Pm-3m. For the final energy, the calculation gives -4.412 eV per atom.

a = 4.9107 Å, b = 4.9107 Å, c = 4.9107 Å
α = 90.00°, β = 90.00°, γ = 90.00°
Fractional positions:
Te (0.0000, 0.0000, 0.0000)
Pd (0.0000, 0.0000, 0.5000)
Pd (0.0000, 0.5000, 0.0000)
Pd (0.5000, 0.0000, 0.0000)
N (0.5000, 0.5000, 0.5000)

DFT (GGA-PBEsol) results for crystalline TiTe2PdN at its relaxed geometry.

## Properties
Its density is 6.75 g/cm³. The crystal system is tetragonal. As for the formation energy (no corrections): 0.105 eV per atom. As for the spin magnetization: 0.00 μB/f.u. The symmetry is P4/mmm. For the final energy, the calculation gives -5.867 eV per atom.

a = 5.3610 Å, b = 5.3610 Å, c = 3.6244 Å
α = 90.00°, β = 90.00°, γ = 90.00°
Fractional positions:
Ti (0.0000, 0.0000, 0.0000)
Te (0.0000, 0.5000, 0.0000)
Te (0.5000, 0.0000, 0.0000)
Pd (0.5000, 0.5000, 0.5000)
N (0.0000, 0.0000, 0.5000)

DFT (GGA-PBEsol) results for crystalline ZnTePdN2 at its relaxed geometry.

## Properties
Its density is 6.26 g/cm³. The crystal system is tetragonal. As for the formation energy (no corrections): 1.216 eV per atom. As for the spin magnetization: 3.33 μB/f.u. The symmetry is P4/mmm. For the final energy, the calculation gives -4.408 eV per atom.

a = 3.9237 Å, b = 3.9237 Å, c = 5.6453 Å
α = 90.00°, β = 90.00°, γ = 90.00°
Fractional positions:
Zn (0.0000, 0.0000, 0.0000)
Te (0.5000, 0.5000, 0.0000)
Pd (0.5000, 0.5000, 0.5000)
N (0.0000, 0.5000, 0.5000)
N (0.5000, 0.0000, 0.5000)

DFT (GGA-PBEsol) results for crystalline ZnTe2PdN at its relaxed geometry.

## Properties
Its density is 6.74 g/cm³. The crystal system is tetragonal. As for the formation energy (no corrections): 0.593 eV per atom. As for the spin magnetization: 0.00 μB/f.u. The symmetry is P4/mmm. For the final energy, the calculation gives -4.031 eV per atom.

a = 5.4939 Å, b = 5.4939 Å, c = 3.6025 Å
α = 90.00°, β = 90.00°, γ = 90.00°
Fractional positions:
Zn (0.0000, 0.0000, 0.0000)
Te (0.0000, 0.5000, 0.5000)
Te (0.5000, 0.0000, 0.5000)
Pd (0.5000, 0.5000, 0.5000)
N (0.5000, 0.5000, 0.0000)

DFT (GGA-PBEsol) results for crystalline TiPd3N at its relaxed geometry.

## Properties
Its density is 6.61 g/cm³. The crystal system is cubic. As for the formation energy (no corrections): 1.689 eV per atom. As for the spin magnetization: 2.12 μB/f.u. The symmetry is Pm-3m. For the final energy, the calculation gives -5.256 eV per atom.

a = 4.5740 Å, b = 4.5740 Å, c = 4.5740 Å
α = 90.00°, β = 90.00°, γ = 90.00°
Fractional positions:
Ti (0.0000, 0.0000, 0.0000)
Pd (0.0000, 0.0000, 0.5000)
Pd (0.0000, 0.5000, 0.0000)
Pd (0.5000, 0.0000, 0.0000)
N (0.5000, 0.5000, 0.5000)

DFT (GGA-PBEsol) results for crystalline Tl3PdN at its relaxed geometry.

## Properties
Its density is 11.37 g/cm³. The crystal system is cubic. As for the formation energy (no corrections): 0.736 eV per atom. As for the spin magnetization: 0.00 μB/f.u. The symmetry is Pm-3m. For the final energy, the calculation gives -3.739 eV per atom.

a = 4.7500 Å, b = 4.7500 Å, c = 4.7500 Å
α = 90.00°, β = 90.00°, γ = 90.00°
Fractional positions:
Tl (0.0000, 0.0000, 0.5000)
Tl (0.0000, 0.5000, 0.0000)
Tl (0.5000, 0.0000, 0.0000)
Pd (0.5000, 0.5000, 0.5000)
N (0.0000, 0.0000, 0.0000)

DFT (GGA-PBEsol) results for crystalline PdWN2 at its relaxed geometry.

## Properties
Its density is 13.44 g/cm³. The crystal system is cubic. As for the formation energy (no corrections): 0.763 eV per atom. As for the spin magnetization: 0.00 μB/f.u. The symmetry is Fm-3m. For the final energy, the calculation gives -8.442 eV per atom.

a = 3.8166 Å, b = 3.8166 Å, c = 3.8166 Å
α = 60.00°, β = 60.00°, γ = 60.00°
Fractional positions:
Pd (0.0000, 0.0000, 0.0000)
W (0.5000, 0.5000, 0.5000)
N (0.2500, 0.2500, 0.2500)
N (0.7500, 0.7500, 0.7500)

DFT (GGA-PBEsol) results for crystalline ZnPdN2 at its relaxed geometry.

## Properties
Its density is 6.97 g/cm³. The crystal system is trigonal. As for the formation energy (no corrections): 0.535 eV per atom. As for the spin magnetization: 0.00 μB/f.u. The symmetry is R-3m. For the final energy, the calculation gives -5.614 eV per atom.

a = 5.9355 Å, b = 5.9355 Å, c = 5.9355 Å
α = 30.45°, β = 30.45°, γ = 30.45°
Fractional positions:
Zn (0.0000, 0.0000, 0.0000)
Pd (0.5000, 0.5000, 0.5000)
N (0.1080, 0.1080, 0.1080)
N (0.8920, 0.8920, 0.8920)

Q: What is the formation energy (no corrections) in the sixth record?
A: 0.736 eV per atom

Q: What is the formation energy (no corrections) in the sixth record?
A: 0.736 eV per atom

Q: What is the formula in the seventh record?
A: PdWN2